1.
VASP calculation (PBE-GGA) on crystalline CsVAs3 at its relaxed geometry.

POSCAR file:
```
CsVAs3
1.0
4.9568 0.0000 0.0000
0.0000 4.9568 0.0000
0.0000 0.0000 4.9568
Cs V As
1 1 3
Direct
0.0000 0.0000 0.0000 Cs
0.5000 0.5000 0.5000 V
0.0000 0.5000 0.5000 As
0.5000 0.0000 0.5000 As
0.5000 0.5000 0.0000 As
```

Output
- ρ (g/cm3) = 5.6
- formation energy (eV/atom) = -0.028

---

2.
VASP calculation (PBE-GGA) on crystalline CsV2AsW at its relaxed geometry.

POSCAR file:
```
CsV2AsW
1.0
4.5702 0.0000 0.0000
0.0000 4.5702 0.0000
0.0000 0.0000 5.7988
Cs V As W
1 2 1 1
Direct
0.0000 0.0000 0.0000 Cs
0.0000 0.5000 0.5000 V
0.5000 0.0000 0.5000 V
0.0000 0.0000 0.5000 As
0.5000 0.5000 0.0000 W
```

Output
- ρ (g/cm3) = 6.8
- formation energy (eV/atom) = 2.175

---

3.
VASP calculation (PBE-GGA) on crystalline Cs6As4W at its relaxed geometry.

POSCAR file:
```
Cs6As4W
1.0
11.0889 0.0000 0.0000
-5.5444 9.6032 0.0000
0.0000 0.0000 8.9910
Cs As W
12 8 2
Direct
0.0708 0.5354 0.0000 Cs
0.1466 0.2931 0.3167 Cs
0.1466 0.8534 0.3167 Cs
0.2931 0.1466 0.8167 Cs
0.4646 0.5354 0.0000 Cs
0.4646 0.9292 0.0000 Cs
0.5354 0.0708 0.5000 Cs
0.5354 0.4646 0.5000 Cs
0.7069 0.8534 0.3167 Cs
0.8534 0.1466 0.8167 Cs
0.8534 0.7069 0.8167 Cs
0.9292 0.4646 0.5000 Cs
0.2128 0.4255 0.6892 As
0.2128 0.7872 0.6892 As
0.3333 0.6667 0.3337 As
0.4255 0.2128 0.1892 As
0.5745 0.7872 0.6892 As
0.6667 0.3333 0.8337 As
0.7872 0.2128 0.1892 As
0.7872 0.5745 0.1892 As
0.3333 0.6667 0.6038 W
0.6667 0.3333 0.1038 W
```

Output
- ρ (g/cm3) = 4.4
- formation energy (eV/atom) = -0.407

---

4.
VASP calculation (PBE-GGA) on crystalline CsAsW3 at its relaxed geometry.

POSCAR file:
```
CsAsW3
1.0
4.8428 0.0000 0.0000
0.0000 4.8428 0.0000
0.0000 0.0000 4.8428
Cs As W
1 1 3
Direct
0.0000 0.0000 0.0000 Cs
0.5000 0.5000 0.5000 As
0.0000 0.5000 0.5000 W
0.5000 0.0000 0.5000 W
0.5000 0.5000 0.0000 W
```

Output
- ρ (g/cm3) = 11.1
- formation energy (eV/atom) = 2.234

---

5.
VASP calculation (PBE-GGA) on crystalline CsAsW3 at its relaxed geometry.

POSCAR file:
```
CsAsW3
1.0
4.9462 0.0000 0.0000
0.0000 4.9462 0.0000
0.0000 0.0000 4.9462
Cs As W
1 1 3
Direct
0.0000 0.0000 0.0000 Cs
0.5000 0.5000 0.5000 As
0.0000 0.0000 0.5000 W
0.0000 0.5000 0.0000 W
0.5000 0.0000 0.0000 W
```

Output
- ρ (g/cm3) = 10.4
- formation energy (eV/atom) = 4.028

---

6.
VASP calculation (PBE-GGA) on crystalline CsYAs3 at its relaxed geometry.

POSCAR file:
```
CsYAs3
1.0
5.5138 0.0000 0.0000
0.0000 5.5138 0.0000
0.0000 0.0000 5.5138
Cs Y As
1 1 3
Direct
0.0000 0.0000 0.0000 Cs
0.5000 0.5000 0.5000 Y
0.0000 0.0000 0.5000 As
0.0000 0.5000 0.0000 As
0.5000 0.0000 0.0000 As
```

Output
- ρ (g/cm3) = 4.4
- formation energy (eV/atom) = 1.146

---

7.
VASP calculation (PBE-GGA) on crystalline CsY4As2 at its relaxed geometry.

POSCAR file:
```
CsY4As2
1.0
-2.7578 2.7578 7.3735
2.7578 -2.7578 7.3735
2.7578 2.7578 -7.3735
Cs Y As
1 4 2
Direct
0.0000 0.0000 0.0000 Cs
0.0000 0.5000 0.5000 Y
0.2081 0.2081 0.0000 Y
0.5000 0.0000 0.5000 Y
0.7919 0.7919 0.0000 Y
0.3898 0.3898 0.0000 As
0.6102 0.6102 0.0000 As
```

Output
- ρ (g/cm3) = 4.7
- formation energy (eV/atom) = 0.536

---

8.
VASP calculation (PBE-GGA) on crystalline Cs3YAs at its relaxed geometry.

POSCAR file:
```
Cs3YAs
1.0
7.0613 0.0000 0.0000
0.0000 7.0613 0.0000
0.0000 0.0000 7.0613
Cs Y As
3 1 1
Direct
0.0000 0.0000 0.5000 Cs
0.0000 0.5000 0.0000 Cs
0.5000 0.0000 0.0000 Cs
0.5000 0.5000 0.5000 Y
0.0000 0.0000 0.0000 As
```

Output
- ρ (g/cm3) = 2.7
- formation energy (eV/atom) = 0.516